1.
# PBE ZnCr3S, relaxed
# D(E_F) = 4.22 states/eV per cell
# offset from the most stable computed form = 0.0 meV/atom
data_ZnCr3S
_space_group_name_H-M_alt 'P m -3 m'
_space_group_IT_number 221
_space_group_name_Hall '-P 4 2 3'
_cell_length_a 4.142
_cell_length_b 4.142
_cell_length_c 4.142
_cell_angle_alpha 90.00
_cell_angle_beta 90.00
_cell_angle_gamma 90.00
loop_
_atom_site_label
_atom_site_type_symbol
_atom_site_fract_x
_atom_site_fract_y
_atom_site_fract_z
Zn1 Zn 0.000 0.000 0.000
Cr1 Cr 0.000 0.500 0.500
S1 S 0.500 0.500 0.500


2.
# PBE Zn2CrS, relaxed
# D(E_F) = 1.98 states/eV per cell
data_Zn2CrS
_space_group_name_H-M_alt 'I -4 2 d'
_space_group_IT_number 122
_space_group_name_Hall 'I -4 2bw'
_cell_length_a 7.477
_cell_length_b 7.477
_cell_length_c 4.868
_cell_angle_alpha 90.00
_cell_angle_beta 90.00
_cell_angle_gamma 90.00
loop_
_atom_site_label
_atom_site_type_symbol
_atom_site_fract_x
_atom_site_fract_y
_atom_site_fract_z
Zn1 Zn 0.210 0.250 0.125
Cr1 Cr 0.000 0.000 0.500
S1 S 0.000 0.000 0.000


Calculated values (eV/f.u.) of uncorrected formation energy for the records, taken in order: 2.03; 0.28.